[1]
Material: Hf6Sn2Ge
Method: DFT, PBE
State: optimized geometry

```
Hf6Sn2Ge
1.0
7.631 0.000 0.000
-3.816 6.609 0.000
0.000 0.000 3.818
Hf Sn Ge
6 2 1
direct
0.000 0.248 0.000 Hf
0.000 0.607 0.500 Hf
0.248 0.000 0.000 Hf
0.393 0.393 0.500 Hf
0.607 0.000 0.500 Hf
0.752 0.752 0.000 Hf
0.333 0.667 0.000 Sn
0.667 0.333 0.000 Sn
0.000 0.000 0.500 Ge
```

Space group ... No. 189
Formation enthalpy at 0 K ... -0.47 eV/atom


[2]
Material: Ba2AcTl2
Method: DFT, PBE
State: optimized geometry

```
Ba2AcTl2
1.0
7.587 0.000 0.000
0.000 5.883 0.000
0.000 0.000 18.066
Ba Ac Tl
8 4 8
direct
0.026 0.250 0.148 Ba
0.160 0.250 0.717 Ba
0.340 0.750 0.217 Ba
0.474 0.750 0.648 Ba
0.526 0.250 0.352 Ba
0.660 0.250 0.783 Ba
0.840 0.750 0.283 Ba
0.974 0.750 0.852 Ba
0.157 0.750 0.461 Ac
0.343 0.250 0.961 Ac
0.657 0.750 0.039 Ac
0.843 0.250 0.539 Ac
0.057 0.250 0.355 Tl
0.138 0.750 0.038 Tl
0.362 0.250 0.538 Tl
0.443 0.750 0.855 Tl
0.557 0.250 0.145 Tl
0.638 0.750 0.462 Tl
0.862 0.250 0.962 Tl
0.943 0.750 0.645 Tl
```

Space group ... No. 62
Formation enthalpy at 0 K ... -0.29 eV/atom


[3]
Material: Cs2Te2Pd
Method: DFT, PBE
State: optimized geometry

```
Cs2Te2Pd
1.0
3.265 -7.463 0.000
3.265 7.463 0.000
0.000 0.000 4.155
Cs Te Pd
2 2 1
direct
0.153 0.847 0.000 Cs
0.847 0.153 0.000 Cs
0.385 0.615 0.500 Te
0.615 0.385 0.500 Te
0.500 0.500 0.000 Pd
```

Energy relative to the elements, uncorrected ... -4.0 eV per formula unit
Space group ... No. 65


[4]
Material: Tb2PuPaSb4
Method: DFT, PBE
State: optimized geometry

```
Tb2PuPaSb4
1.0
7.614 0.000 0.000
0.000 4.400 0.000
-2.533 0.000 7.186
Tb Pu Pa Sb
2 1 1 4
direct
0.000 0.000 0.000 Tb
0.500 0.500 0.000 Tb
0.000 0.500 0.500 Pu
0.500 0.000 0.500 Pa
0.253 0.000 0.749 Sb
0.253 0.500 0.251 Sb
0.747 0.000 0.251 Sb
0.747 0.500 0.749 Sb
```

Energy relative to the elements, uncorrected ... -6.8 eV per formula unit
Space group ... No. 10


no.,size of the total moment (μB/atom)
1,0.000
2,0.000
3,0.000
4,0.769